Y2Re: optimized geometry, PBE.

Values from the calculation:
The calculation puts the raw total energy at -47.97 eV/cell. As for the crystal system: orthorhombic. The value obtained for the energy of formation is 0.463 eV/atom.

a = 3.066 Å, b = 4.974 Å, c = 8.876 Å
α = 90.00°, β = 90.00°, γ = 90.00°
Space group Immm (No. 71)
Inequivalent atoms, fractional coordinates:
Y 0.000 0.000 0.163 x4
Re 0.000 0.000 0.500 x2